# 1
First-principles (PBE-GGA) data for a geometry-optimized Ta2C structure, as listed in the Alexandria database.

Values from the calculation:
The calculation puts the density of states at the Fermi level at 1.157 states/eV/cell. The value obtained for the formation energy from the elements is 0.032 eV/atom.

Cell: 5.9569 5.6839 2.8885 Å, 80.95 70.44 28.61°
Last column: nearest neighbours and their distance in Å.
Element x y z (fractional)
1 C 0.0000 0.0000 0.0000  4 Ta 2.20
2 Ta 0.3624 0.3624 0.6376  2 C 2.20
3 Ta 0.6376 0.6376 0.3624  2 C 2.20



# 2
First-principles (PBE-GGA) data for a geometry-optimized TaC structure, as listed in the Alexandria database.

Values from the calculation:
The calculation puts the density of states at the Fermi level at 2.448 states/eV/cell. The energy above the most stable polymorph in this dataset is 0.647 eV/atom. The value obtained for the formation energy from the elements is 0.069 eV/atom.

Cell: 5.1849 5.1849 3.0995 Å, 90.00 90.00 120.00°
Last column: nearest neighbours and their distance in Å.
Element x y z (fractional)
1 C 0.5000 0.5000 0.0000  4 Ta 2.15
2 C 0.5000 0.0000 0.0000  4 Ta 2.15
3 C 0.0000 0.5000 0.0000  4 Ta 2.15
4 Ta 0.6667 0.3333 0.5000  6 C 2.15
5 Ta 0.0000 0.0000 0.0000  6 C 2.59
6 Ta 0.3333 0.6667 0.5000  6 C 2.15



# 3
First-principles (PBE-GGA) data for a geometry-optimized Ta5C structure, as listed in the Alexandria database.

Values from the calculation:
The calculation puts the density of states at the Fermi level at 5.333 states/eV/cell. The energy above the most stable polymorph in this dataset is 0.846 eV/atom. The value obtained for the formation energy from the elements is 0.872 eV/atom.

Cell: 4.9382 4.9382 4.7735 Å, 90.00 90.00 120.00°
Last column: nearest neighbours and their distance in Å.
Element x y z (fractional)
1 C 0.0000 0.0000 0.5000  12 Ta 2.85-2.88
2 Ta 0.0000 0.6722 0.0000  10 Ta 2.80-2.91, 2 C 2.88
3 Ta 0.3278 0.3278 0.0000  10 Ta 2.80-2.91, 2 C 2.88
4 Ta 0.6722 0.0000 0.0000  10 Ta 2.80-2.91, 2 C 2.88
5 Ta 0.6667 0.3333 0.5000  3 C 2.85, 9 Ta 2.85-2.91
6 Ta 0.3333 0.6667 0.5000  3 C 2.85, 9 Ta 2.85-2.91



no.,spin magnetization (μB per cell)
1,0.00
2,0.00
3,0.00